Pr3Dy7Tm, optimized geometry, DFT PBE; relative energy among the computed polymorphs = 0.000 eV/atom; DFT formation energy = 124 meV per atom; Fermi-level density of states = 1.590 states/eV/atom; M_tot = 0.0 μB per formula unit
1.0
-1.290 3.851 -5.356
2.919 -4.773 -3.356
-7.091 -3.963 -2.955
Pr Tm Dy
3 1 7
Direct
0.062 0.194 0.833
0.500 0.000 0.000
0.938 0.806 0.167
0.500 0.500 0.500
0.269 0.012 0.422
0.226 0.717 0.787
0.290 0.436 0.146
0.774 0.283 0.213
0.710 0.564 0.854
0.000 0.500 0.500
0.731 0.988 0.578

Tm2Al3, optimized geometry, DFT PBE; DFT formation energy = -396 meV per atom; Fermi-level density of states = 0.683 states/eV/atom; M_tot = 0.0 μB per formula unit
1.0
-5.304 1.222 1.892
-1.673 -0.949 5.432
2.385 7.257 2.002
Al Tm
6 4
Direct
0.500 0.500 0.500
0.646 0.146 0.750
0.000 0.000 0.000
0.146 0.646 0.750
0.854 0.354 0.250
0.354 0.854 0.250
0.345 0.345 0.098
0.655 0.655 0.902
0.155 0.155 0.598
0.845 0.845 0.402

CaAgAu6, optimized geometry, DFT PBE; DFT formation energy = -222 meV per atom; Fermi-level density of states = 0.301 states/eV/atom; M_tot = 0.0 μB per formula unit
1.0
5.399 0.000 0.000
0.000 5.399 0.000
0.000 0.000 5.399
Au Ag Ca
6 1 1
Direct
0.000 0.500 0.751
0.249 0.000 0.500
0.000 0.500 0.249
0.500 0.751 0.000
0.500 0.249 0.000
0.751 0.000 0.500
0.000 0.000 0.000
0.500 0.500 0.500

Zr2ReTc2, optimized geometry, DFT PBE; relative energy among the computed polymorphs = 1.066 eV/atom; DFT formation energy = 1019 meV per atom; Fermi-level density of states = 1.652 states/eV/atom; M_tot = 1.7 μB per formula unit
1.0
-2.105 2.105 5.532
2.105 -2.105 5.532
2.105 2.105 -5.532
Zr Tc Re
2 2 1
Direct
0.750 0.250 0.500
0.250 0.750 0.500
0.398 0.398 0.000
0.602 0.602 0.000
0.000 0.000 0.000